(1)
Li4Ga3Cu after structural relaxation. Source: the Alexandria database, functional PBE-GGA.

Lattice parameters (Å, degrees): 2.672 4.240 11.572 104.30 90.01 90.00
Fractional positions:
Li 0.500 0.441 0.798
Li 0.500 0.294 0.567
Li 0.500 0.706 0.433
Li 0.500 0.559 0.202
Ga 0.500 0.000 0.000
Ga 0.000 0.864 0.675
Ga 0.000 0.136 0.325
Cu 0.000 0.500 0.000

Properties
E_form ... -0.171 eV per atom
Energy above the most stable polymorph in this dataset ... 0 meV/atom
Total moment ... 0.0 μB/f.u.

---

(2)
Li2Ga3Cu8 after structural relaxation. Source: the Alexandria database, functional PBE-GGA.

Lattice parameters (Å, degrees): 4.814 4.814 9.627 75.52 75.52 60.00
Fractional positions:
Li 0.360 0.360 0.920
Li 0.640 0.640 0.080
Cu 0.729 0.229 0.312
Cu 0.271 0.271 0.186
Cu 0.271 0.271 0.688
Cu 0.229 0.729 0.312
Cu 0.771 0.271 0.688
Cu 0.271 0.771 0.688
Cu 0.729 0.729 0.814
Cu 0.729 0.729 0.312
Ga 0.816 0.816 0.551
Ga 0.000 0.000 0.000
Ga 0.184 0.184 0.449

Properties
E_form ... 0.032 eV per atom
Total moment ... 0.0 μB/f.u.

---

(3)
LiGa4Cu after structural relaxation. Source: the Alexandria database, functional PBE-GGA.

Lattice parameters (Å, degrees): 4.325 7.363 6.878 99.72 111.36 90.57
Fractional positions:
Ga 0.585 0.346 0.644
Ga 0.066 0.865 0.623
Ga 0.415 0.654 0.356
Ga 0.706 0.086 0.918
Ga 0.798 0.456 0.097
Ga 0.294 0.914 0.082
Ga 0.934 0.135 0.377
Ga 0.202 0.544 0.903
Li 0.352 0.281 0.209
Li 0.648 0.719 0.791
Cu 0.500 0.000 0.500
Cu 0.000 0.500 0.500

Properties
E_form ... -0.129 eV per atom
Energy above the most stable polymorph in this dataset ... 5 meV/atom
Total moment ... 0.0 μB/f.u.

---

(4)
LiGaCu3 after structural relaxation. Source: the Alexandria database, functional PBE-GGA.

Lattice parameters (Å, degrees): 4.557 4.557 4.557 90.00 90.00 90.00
Fractional positions:
Cu 0.000 0.000 0.500
Cu 0.000 0.500 0.000
Cu 0.500 0.000 0.000
Li 0.500 0.500 0.500
Ga 0.000 0.000 0.000

Properties
E_form ... 0.380 eV per atom
Energy above the most stable polymorph in this dataset ... 527 meV/atom
Total moment ... 0.0 μB/f.u.

---

(5)
LiGa2Cu after structural relaxation. Source: the Alexandria database, functional PBE-GGA.

Lattice parameters (Å, degrees): 4.271 4.271 7.827 90.00 90.00 120.00
Fractional positions:
Cu 0.667 0.333 0.326
Cu 0.667 0.333 0.674
Li 0.000 0.000 0.500
Li 0.667 0.333 0.000
Ga 0.000 0.000 0.833
Ga 0.333 0.667 0.678
Ga 0.333 0.667 0.322
Ga 0.000 0.000 0.167

Properties
E_form ... -0.203 eV per atom
Total moment ... 0.0 μB/f.u.

---

(6)
Li2Ga3Cu2 after structural relaxation. Source: the Alexandria database, functional PBE-GGA.

Lattice parameters (Å, degrees): 4.103 4.991 6.402 110.96 90.00 114.27
Fractional positions:
Cu 0.877 0.755 0.803
Cu 0.123 0.245 0.197
Ga 0.368 0.736 0.547
Ga 0.632 0.264 0.453
Ga 0.500 0.000 0.000
Li 0.847 0.694 0.225
Li 0.153 0.306 0.775

Properties
E_form ... -0.213 eV per atom
Energy above the most stable polymorph in this dataset ... 0 meV/atom
Total moment ... 0.0 μB/f.u.